No. 1
KIn2Bi3: optimized geometry, PBE.

Summary:
ΔE_f: -0.092 eV per atom

abc: 4.7163 10.0075 10.0031
angles: 65.00 76.36 76.37
With the nearest neighbours (Å) after each atom.
Fractional coordinates of all 12 atoms:
K 0.8507 0.1494 0.1493  6 Bi 3.66-3.80, 6 In 3.70-3.87
K 0.1493 0.8506 0.8507  6 Bi 3.66-3.80, 6 In 3.70-3.87
In 0.5001 0.1398 0.8600  4 Bi 2.99-3.29, 1 In 3.01
In 0.4999 0.8602 0.1400  4 Bi 2.99-3.29, 1 In 3.01
In 0.8389 0.6609 0.6612  6 Bi 3.30-3.42
In 0.1611 0.3391 0.3388  6 Bi 3.30-3.42
Bi 0.3171 0.4547 0.9112  2 Bi 3.24, 3 In 3.29-3.42
Bi 0.0000 0.3116 0.6884  4 In 2.99-3.30
Bi 0.6830 0.0890 0.5451  2 Bi 3.24, 3 In 3.29-3.42
Bi 0.3170 0.9110 0.4549  2 Bi 3.24, 3 In 3.29-3.42
Bi 0.0000 0.6884 0.3116  4 In 2.99-3.30
Bi 0.6829 0.5453 0.0888  2 Bi 3.24, 3 In 3.29-3.42

---

No. 2
Nd2Mg2InPd5: optimized geometry, PBE.

Summary:
ΔE_f: -0.579 eV per atom

abc: 3.7194 10.3158 10.3158
angles: 90.00 90.00 90.00
With the nearest neighbours (Å) after each atom.
Fractional coordinates of all 20 atoms:
Nd 0.0000 0.6774 0.1774  3 Mg 2.94-3.13, 2 Pd 3.19
Nd 0.0000 0.3226 0.8226  3 Mg 2.94-3.13, 2 Pd 3.19
Nd 0.0000 0.1774 0.3226  3 Mg 2.94-3.13, 2 Pd 3.19
Nd 0.0000 0.8226 0.6774  3 Mg 2.94-3.13, 2 Pd 3.19
Mg 0.0000 0.1212 0.6212  6 Pd 2.57-2.67
Mg 0.0000 0.8788 0.3788  6 Pd 2.57-2.67
Mg 0.0000 0.6212 0.8788  6 Pd 2.57-2.67
Mg 0.0000 0.3788 0.1212  6 Pd 2.57-2.67
In 0.0000 0.0000 0.0000  8 Pd 2.87
In 0.0000 0.5000 0.5000  8 Pd 2.87
Pd 0.5000 0.2036 0.0581  2 Mg 2.67, 2 In 2.87
Pd 0.5000 0.7964 0.9419  2 Mg 2.67, 2 In 2.87
Pd 0.5000 0.0581 0.7964  2 Mg 2.67, 2 In 2.87
Pd 0.5000 0.7036 0.4419  2 Mg 2.67, 2 In 2.87
Pd 0.5000 0.9419 0.2036  2 Mg 2.67, 2 In 2.87
Pd 0.5000 0.2964 0.5581  2 Mg 2.67, 2 In 2.87
Pd 0.5000 0.5581 0.7036  2 Mg 2.67, 2 In 2.87
Pd 0.5000 0.4419 0.2964  2 Mg 2.67, 2 In 2.87
Pd 0.5000 0.5000 0.0000  4 Mg 2.57
Pd 0.5000 0.0000 0.5000  4 Mg 2.57

---

No. 3
Er5Al12In3: optimized geometry, PBE.

Summary:
ΔE_f: 0.410 eV per atom

abc: 14.5153 14.5153 14.5153
angles: 109.47 109.47 109.47
With the nearest neighbours (Å) after each atom.
Fractional coordinates of all 80 atoms:
In 0.7500 0.3750 0.1250  8 Al 2.87-2.94
In 0.8750 0.7500 0.1250  8 Al 2.87-2.94
In 0.3750 0.7500 0.6250  8 Al 2.87-2.94
In 0.2500 0.1250 0.3750  8 Al 2.87-2.94
In 0.8750 0.1250 0.2500  8 Al 2.87-2.94
In 0.3750 0.6250 0.2500  8 Al 2.87-2.94
In 0.6250 0.3750 0.7500  8 Al 2.87-2.94
In 0.1250 0.8750 0.7500  8 Al 2.87-2.94
In 0.7500 0.8750 0.6250  8 Al 2.87-2.94
In 0.6250 0.2500 0.3750  8 Al 2.87-2.94
In 0.1250 0.2500 0.8750  8 Al 2.87-2.94
In 0.2500 0.6250 0.8750  8 Al 2.87-2.94
Er 0.1250 0.3750 0.2500  4 Al 3.07
Er 0.0000 0.5000 0.0000  6 Al 2.86
Er 0.0000 0.0000 0.0000  6 Al 2.86
Er 0.3750 0.2500 0.1250  4 Al 3.07
Er 0.5000 0.0000 0.5000  6 Al 2.86
Er 0.5000 0.5000 0.0000  6 Al 2.86
Er 0.1250 0.7500 0.3750  4 Al 3.07
Er 0.7500 0.1250 0.8750  4 Al 3.07
Er 0.7500 0.6250 0.3750  4 Al 3.07
Er 0.3750 0.1250 0.7500  4 Al 3.07
Er 0.6250 0.8750 0.2500  4 Al 3.07
Er 0.5000 0.5000 0.5000  6 Al 2.86
Er 0.5000 0.0000 0.0000  6 Al 2.86
Er 0.0000 0.0000 0.5000  6 Al 2.86
Er 0.2500 0.3750 0.6250  4 Al 3.07
Er 0.2500 0.8750 0.1250  4 Al 3.07
Er 0.0000 0.5000 0.5000  6 Al 2.86
Er 0.8750 0.2500 0.6250  4 Al 3.07
Er 0.6250 0.7500 0.8750  4 Al 3.07
Er 0.8750 0.6250 0.7500  4 Al 3.07
Al 0.7308 0.1555 0.0864  3 Al 2.68-2.97, 1 Er 2.86, 2 In 2.87-2.94
Al 0.3556 0.5864 0.4309  3 Al 2.68-2.97, 1 Er 2.86, 2 In 2.87-2.94
Al 0.9136 0.3445 0.2692  3 Al 2.68-2.97, 1 Er 2.86, 2 In 2.87-2.94
Al 0.5864 0.2308 0.1555  3 Al 2.68-2.97, 1 Er 2.86, 2 In 2.87-2.94
Al 0.5753 0.7308 0.6444  3 Al 2.68-2.97, 1 Er 2.86, 2 In 2.87-2.94
Al 0.9136 0.5691 0.1444  3 Al 2.68-2.97, 1 Er 2.86, 2 In 2.87-2.94
Al 0.3556 0.7692 0.4247  3 Al 2.68-2.97, 1 Er 2.86, 2 In 2.87-2.94
Al 0.0691 0.9247 0.1555  3 Al 2.68-2.97, 1 Er 2.86, 2 In 2.87-2.94
Al 0.5691 0.9136 0.6444  3 Al 2.68-2.97, 1 Er 2.86, 2 In 2.87-2.94
Al 0.7308 0.5753 0.1444  3 Al 2.68-2.97, 1 Er 2.86, 2 In 2.87-2.94
Al 0.7692 0.4136 0.3445  3 Al 2.68-2.97, 1 Er 2.86, 2 In 2.87-2.94
Al 0.8556 0.9309 0.0864  3 Al 2.68-2.97, 1 Er 2.86, 2 In 2.87-2.94
Al 0.1555 0.7308 0.5864  3 Al 2.68-2.97, 1 Er 2.86, 2 In 2.87-2.94
Al 0.3445 0.4309 0.0753  3 Al 2.68-2.97, 1 Er 2.86, 2 In 2.87-2.94
Al 0.0753 0.9309 0.3445  3 Al 2.68-2.97, 1 Er 2.86, 2 In 2.87-2.94
Al 0.4247 0.1555 0.5691  3 Al 2.68-2.97, 1 Er 2.86, 2 In 2.87-2.94
Al 0.0753 0.1444 0.2308  3 Al 2.68-2.97, 1 Er 2.86, 2 In 2.87-2.94
Al 0.4136 0.6444 0.0691  3 Al 2.68-2.97, 1 Er 2.86, 2 In 2.87-2.94
Al 0.8556 0.9247 0.2692  3 Al 2.68-2.97, 1 Er 2.86, 2 In 2.87-2.94
Al 0.1555 0.4247 0.0691  3 Al 2.68-2.97, 1 Er 2.86, 2 In 2.87-2.94
Al 0.3445 0.9136 0.7692  3 Al 2.68-2.97, 1 Er 2.86, 2 In 2.87-2.94
Al 0.5691 0.6555 0.4247  3 Al 2.68-2.97, 1 Er 2.86, 2 In 2.87-2.94
Al 0.9309 0.8556 0.5864  3 Al 2.68-2.97, 1 Er 2.86, 2 In 2.87-2.94
Al 0.7692 0.3556 0.9247  3 Al 2.68-2.97, 1 Er 2.86, 2 In 2.87-2.94
Al 0.4309 0.3445 0.5753  3 Al 2.68-2.97, 1 Er 2.86, 2 In 2.87-2.94
Al 0.0691 0.1444 0.4136  3 Al 2.68-2.97, 1 Er 2.86, 2 In 2.87-2.94
Al 0.2308 0.6444 0.0753  3 Al 2.68-2.97, 1 Er 2.86, 2 In 2.87-2.94
Al 0.1444 0.0753 0.7308  3 Al 2.68-2.97, 1 Er 2.86, 2 In 2.87-2.94
Al 0.6555 0.0864 0.2308  3 Al 2.68-2.97, 1 Er 2.86, 2 In 2.87-2.94
Al 0.8445 0.5753 0.9309  3 Al 2.68-2.97, 1 Er 2.86, 2 In 2.87-2.94
Al 0.5864 0.3556 0.9309  3 Al 2.68-2.97, 1 Er 2.86, 2 In 2.87-2.94
Al 0.5753 0.8445 0.4309  3 Al 2.68-2.97, 1 Er 2.86, 2 In 2.87-2.94
Al 0.9247 0.8556 0.7692  3 Al 2.68-2.97, 1 Er 2.86, 2 In 2.87-2.94
Al 0.9247 0.0691 0.6555  3 Al 2.68-2.97, 1 Er 2.86, 2 In 2.87-2.94
Al 0.8445 0.2692 0.4136  3 Al 2.68-2.97, 1 Er 2.86, 2 In 2.87-2.94
Al 0.1444 0.0691 0.9136  3 Al 2.68-2.97, 1 Er 2.86, 2 In 2.87-2.94
Al 0.6555 0.5691 0.9247  3 Al 2.68-2.97, 1 Er 2.86, 2 In 2.87-2.94
Al 0.4309 0.0864 0.3556  3 Al 2.68-2.97, 1 Er 2.86, 2 In 2.87-2.94
Al 0.2692 0.4247 0.8556  3 Al 2.68-2.97, 1 Er 2.86, 2 In 2.87-2.94
Al 0.2308 0.5864 0.6555  3 Al 2.68-2.97, 1 Er 2.86, 2 In 2.87-2.94
Al 0.9309 0.0753 0.8445  3 Al 2.68-2.97, 1 Er 2.86, 2 In 2.87-2.94
Al 0.6444 0.2308 0.5753  3 Al 2.68-2.97, 1 Er 2.86, 2 In 2.87-2.94
Al 0.4136 0.7692 0.8445  3 Al 2.68-2.97, 1 Er 2.86, 2 In 2.87-2.94
Al 0.0864 0.4309 0.8556  3 Al 2.68-2.97, 1 Er 2.86, 2 In 2.87-2.94
Al 0.4247 0.2692 0.3556  3 Al 2.68-2.97, 1 Er 2.86, 2 In 2.87-2.94
Al 0.0864 0.6555 0.7308  3 Al 2.68-2.97, 1 Er 2.86, 2 In 2.87-2.94
Al 0.6444 0.4136 0.5691  3 Al 2.68-2.97, 1 Er 2.86, 2 In 2.87-2.94
Al 0.2692 0.8445 0.9136  3 Al 2.68-2.97, 1 Er 2.86, 2 In 2.87-2.94

---

No. 4
YHfPd2: optimized geometry, PBE.

Summary:
ΔE_f: -0.746 eV per atom

abc: 3.3937 3.3937 7.0342
angles: 90.00 90.00 90.00
With the nearest neighbours (Å) after each atom.
Fractional coordinates of all 4 atoms:
Y 0.5000 0.5000 0.5000  8 Pd 3.14, 4 Y 3.39
Hf 0.5000 0.5000 0.0000  8 Pd 2.83
Pd 0.0000 0.0000 0.7871  4 Hf 2.83, 1 Pd 2.99, 4 Y 3.14
Pd 0.0000 0.0000 0.2129  4 Hf 2.83, 1 Pd 2.99, 4 Y 3.14

---

No. 5
Er12MgRu6: optimized geometry, PBE.

Summary:
ΔE_f: -0.200 eV per atom

abc: 8.4785 8.4785 8.4785
angles: 108.66 108.66 108.66
With the nearest neighbours (Å) after each atom.
Fractional coordinates of all 19 atoms:
Er 0.8552 0.6094 0.5525  3 Ru 2.72-2.79
Er 0.5525 0.8552 0.6094  3 Ru 2.72-2.79
Er 0.6094 0.5525 0.8552  3 Ru 2.72-2.79
Er 0.1448 0.3906 0.4475  3 Ru 2.72-2.79
Er 0.4475 0.1448 0.3906  3 Ru 2.72-2.79
Er 0.3906 0.4475 0.1448  3 Ru 2.72-2.79
Er 0.0369 0.8522 0.3392  3 Ru 2.75-2.78
Er 0.1478 0.6608 0.9631  3 Ru 2.75-2.78
Er 0.6608 0.9631 0.1478  3 Ru 2.75-2.78
Er 0.9631 0.1478 0.6608  3 Ru 2.75-2.78
Er 0.8522 0.3392 0.0369  3 Ru 2.75-2.78
Er 0.3392 0.0369 0.8522  3 Ru 2.75-2.78
Mg 0.0000 0.0000 0.0000  12 Er 3.45-3.64
Ru 0.7101 0.7840 0.3683  6 Er 2.72-2.79
Ru 0.6317 0.2899 0.2160  6 Er 2.72-2.79
Ru 0.2160 0.6317 0.2899  6 Er 2.72-2.79
Ru 0.2899 0.2160 0.6317  6 Er 2.72-2.79
Ru 0.3683 0.7101 0.7840  6 Er 2.72-2.79
Ru 0.7840 0.3683 0.7101  6 Er 2.72-2.79

---

No. 6
Sc5Co4Rh: optimized geometry, PBE.

Summary:
ΔE_f: -0.489 eV per atom

abc: 3.1452 3.1452 15.7202
angles: 90.00 90.00 90.00
With the nearest neighbours (Å) after each atom.
Fractional coordinates of all 10 atoms:
Sc 0.5000 0.5000 0.1064  4 Co 2.70, 4 Rh 2.78
Sc 0.5000 0.5000 0.3029  8 Co 2.71-2.72
Sc 0.5000 0.5000 0.5000  8 Co 2.71
Sc 0.5000 0.5000 0.6971  8 Co 2.71-2.72
Sc 0.5000 0.5000 0.8936  4 Co 2.70, 4 Rh 2.78
Co 0.0000 0.0000 0.2033  8 Sc 2.70-2.72
Co 0.0000 0.0000 0.4013  8 Sc 2.71
Co 0.0000 0.0000 0.5987  8 Sc 2.71
Co 0.0000 0.0000 0.7967  8 Sc 2.70-2.72
Rh 0.0000 0.0000 0.0000  8 Sc 2.78

---

No. 7
Li10LaAg3: optimized geometry, PBE.

Summary:
ΔE_f: 0.021 eV per atom

abc: 9.4925 9.4925 9.4925
angles: 60.00 60.00 60.00
With the nearest neighbours (Å) after each atom.
Fractional coordinates of all 28 atoms:
Li 0.0000 0.0000 0.3459  2 Ag 2.63, 1 Li 2.93
Li 0.0000 0.3459 0.0000  2 Ag 2.63, 1 Li 2.93
Li 0.3459 0.0000 0.0000  2 Ag 2.63, 1 Li 2.93
Li 0.6541 0.3459 0.0000  2 Ag 2.63, 1 Li 2.93
Li 0.3913 0.3913 0.3913  3 Ag 2.67, 3 Li 2.92
Li 0.1738 0.6087 0.6087  3 Ag 2.67, 3 Li 2.92
Li 0.3913 0.8262 0.3913  3 Ag 2.67, 3 Li 2.92
Li 0.6541 0.0000 0.3459  2 Ag 2.63, 1 Li 2.93
Li 0.3913 0.3913 0.8262  3 Ag 2.67, 3 Li 2.92
Li 0.8262 0.3913 0.3913  3 Ag 2.67, 3 Li 2.92
Li 0.6087 0.6087 0.1738  3 Ag 2.67, 3 Li 2.92
Li 0.0000 0.0000 0.6541  2 Ag 2.63, 1 Li 2.93
Li 0.3459 0.6541 0.0000  2 Ag 2.63, 1 Li 2.93
Li 0.0000 0.6541 0.3459  2 Ag 2.63, 1 Li 2.93
Li 0.0000 0.3459 0.6541  2 Ag 2.63, 1 Li 2.93
Li 0.6541 0.0000 0.0000  2 Ag 2.63, 1 Li 2.93
Li 0.6087 0.6087 0.6087  3 Ag 2.67, 3 Li 2.92
Li 0.0000 0.6541 0.0000  2 Ag 2.63, 1 Li 2.93
Li 0.6087 0.1738 0.6087  3 Ag 2.67, 3 Li 2.92
Li 0.3459 0.0000 0.6541  2 Ag 2.63, 1 Li 2.93
La 0.2500 0.2500 0.2500  16 Li 3.28-3.66
La 0.7500 0.7500 0.7500  16 Li 3.28-3.66
Ag 0.7345 0.7345 0.2655  8 Li 2.63-2.67
Ag 0.7345 0.2655 0.7345  8 Li 2.63-2.67
Ag 0.2655 0.7345 0.7345  8 Li 2.63-2.67
Ag 0.2655 0.2655 0.7345  8 Li 2.63-2.67
Ag 0.7345 0.2655 0.2655  8 Li 2.63-2.67
Ag 0.2655 0.7345 0.2655  8 Li 2.63-2.67

---

No. 8
Li4TmMg5: optimized geometry, PBE.

Summary:
ΔE_f: -0.053 eV per atom

abc: 3.4607 3.4607 18.0033
angles: 90.00 90.00 90.00
With the nearest neighbours (Å) after each atom.
Fractional coordinates of all 10 atoms:
Li 0.0000 0.0000 0.2165  8 Mg 2.96-3.00
Li 0.0000 0.0000 0.4060  8 Mg 2.97-2.98
Li 0.0000 0.0000 0.5940  8 Mg 2.97-2.98
Li 0.0000 0.0000 0.7835  8 Mg 2.96-3.00
Tm 0.0000 0.0000 0.0000  8 Mg 3.31, 4 Tm 3.46
Mg 0.5000 0.5000 0.1237  4 Li 2.96, 4 Tm 3.31
Mg 0.5000 0.5000 0.3125  8 Li 2.97-3.00
Mg 0.5000 0.5000 0.5000  8 Li 2.98
Mg 0.5000 0.5000 0.6875  8 Li 2.97-3.00
Mg 0.5000 0.5000 0.8763  4 Li 2.96, 4 Tm 3.31

---

No. 9
GeAsI2N: optimized geometry, PBE.

Summary:
ΔE_f (raw): 0.755 eV per atom

abc: 5.9898 5.9898 3.6983
angles: 90.00 90.00 90.00
With the nearest neighbours (Å) after each atom.
Fractional coordinates of all 5 atoms:
I 0.0000 0.5000 0.0000  2 As 2.99
I 0.5000 0.0000 0.0000  2 As 2.99
As 0.0000 0.0000 0.0000  2 N 1.85
Ge 0.5000 0.5000 0.5000  8 I 3.52, 2 Ge 3.70
N 0.0000 0.0000 0.5000  2 As 1.85

---

Table of D(E_F) (states/eV per cell), in record order: 3.85, 11.11, 45.35, 4.10, 10.17, 5.29, 15.28, 5.44, 1.92
Table of energy (eV per atom), in record order: -3.128, -4.722, -3.387, -7.447, -6.095, -7.232, -2.309, -2.063, -3.383